VASP calculation (PBE) on a geometry-optimized CeLu2 structure.

Summary:
- Energy above the lowest structure with this stoichiometry: 289 meV per atom
- DFT total energy: -27.77 eV/cell
- Density of states at the Fermi level: 17.9 states/eV per cell
- Formation enthalpy at 0 K: 0.36 eV/atom

```
CeLu2
1.0
0.0000 4.6382 4.6382
4.6382 0.0000 4.6382
4.6382 4.6382 0.0000
Ce Lu
2 4
Direct
0.1250 0.1250 0.1250 Ce
0.8750 0.8750 0.8750 Ce
0.0000 0.5000 0.5000 Lu
0.5000 0.0000 0.5000 Lu
0.5000 0.5000 0.0000 Lu
0.5000 0.5000 0.5000 Lu
```